Record 1
DFT (PBE) results for crystalline BeBPd3 at its relaxed geometry.

Output
The calculation puts the uncorrected energy at -26.17 eV/f.u. The formation energy is -0.037 eV per atom. As for the space group: Pm-3m, No. 221. The value obtained for the magnetic moment is 0.00 μB per cell.

a = 4.0981 Å, b = 4.0981 Å, c = 4.0981 Å
α = 90.00°, β = 90.00°, γ = 90.00°
Atoms (fractional coordinates):
Pd 0.0000 0.5000 0.0000
Be 0.5000 0.5000 0.5000
Pd 0.0000 0.0000 0.5000
B 0.0000 0.0000 0.0000
Pd 0.5000 0.0000 0.0000

Record 2
DFT (PBE) results for crystalline Be6BPd12 at its relaxed geometry.

Output
The calculation puts the uncorrected energy at -97.36 eV/f.u. The formation energy is -0.316 eV per atom. As for the space group: R-3, No. 148. The value obtained for the magnetic moment is 0.00 μB per cell.

a = 6.4621 Å, b = 6.4621 Å, c = 6.4621 Å
α = 99.60°, β = 99.60°, γ = 99.60°
Atoms (fractional coordinates):
Pd 0.4336 0.8180 0.5811
Pd 0.9662 0.3179 0.0801
Be 0.8677 0.3649 0.6849
Pd 0.4189 0.5664 0.1820
B 0.0000 0.0000 0.0000
Pd 0.9199 0.0338 0.6821
Pd 0.3179 0.0801 0.9662
Be 0.3649 0.6849 0.8677
Pd 0.5811 0.4336 0.8180
Be 0.6351 0.3151 0.1323
Be 0.3151 0.1323 0.6351
Be 0.1323 0.6351 0.3151
Pd 0.0338 0.6821 0.9199
Pd 0.5664 0.1820 0.4189
Pd 0.6821 0.9199 0.0338
Pd 0.0801 0.9662 0.3179
Be 0.6849 0.8677 0.3649
Pd 0.8180 0.5811 0.4336
Pd 0.1820 0.4189 0.5664

Record 3
DFT (PBE) results for crystalline Be2B2Pd at its relaxed geometry.

Output
The calculation puts the uncorrected energy at -26.15 eV/f.u. The formation energy is -0.030 eV per atom. As for the space group: P4/mbm, No. 127. The value obtained for the magnetic moment is 0.00 μB per cell.

a = 5.4364 Å, b = 5.4364 Å, c = 2.9867 Å
α = 90.00°, β = 90.00°, γ = 90.00°
Atoms (fractional coordinates):
Be 0.6608 0.8392 0.5000
Be 0.3392 0.1608 0.5000
B 0.6058 0.1058 0.0000
B 0.8942 0.6058 0.0000
Pd 0.0000 0.0000 0.0000
B 0.1058 0.3942 0.0000
B 0.3942 0.8942 0.0000
Be 0.8392 0.3392 0.5000
Pd 0.5000 0.5000 0.0000
Be 0.1608 0.6608 0.5000

Record 4
DFT (PBE) results for crystalline Be2BPd6 at its relaxed geometry.

Output
The calculation puts the uncorrected energy at -48.85 eV/f.u. The formation energy is -0.396 eV per atom. As for the space group: P2_1/c, No. 14. The value obtained for the magnetic moment is 0.00 μB per cell.

a = 4.9823 Å, b = 5.9697 Å, c = 7.7598 Å
α = 90.00°, β = 89.76°, γ = 90.00°
Atoms (fractional coordinates):
Pd 0.1585 0.3241 0.4416
Pd 0.6296 0.4717 0.2540
Be 0.5687 0.8855 0.7457
Be 0.9313 0.3855 0.7543
Pd 0.3415 0.8241 0.0584
Pd 0.8415 0.6759 0.5584
Be 0.0687 0.6145 0.2457
Pd 0.1296 0.0283 0.7540
Pd 0.6522 0.1863 0.5619
Pd 0.3704 0.5283 0.7460
Pd 0.8704 0.9717 0.2460
Pd 0.3478 0.8137 0.4381
Pd 0.8478 0.6863 0.9381
B 0.5000 0.5000 0.0000
Pd 0.1522 0.3137 0.0619
Be 0.4313 0.1145 0.2543
Pd 0.6585 0.1759 0.9416
B 0.0000 0.0000 0.5000

Record 5
DFT (PBE) results for crystalline BeBPd4 at its relaxed geometry.

Output
The calculation puts the uncorrected energy at -32.42 eV/f.u. The formation energy is -0.207 eV per atom. As for the space group: I4_1md, No. 109. The value obtained for the magnetic moment is 0.00 μB per cell.

a = 6.0058 Å, b = 6.0058 Å, c = 6.0058 Å
α = 106.56°, β = 106.56°, γ = 115.47°
Atoms (fractional coordinates):
B 0.7509 0.7509 0.0000
Pd 0.2595 0.5615 0.3020
Pd 0.7886 0.9906 0.7980
B 0.5009 0.0009 0.5000
Pd 0.2595 0.9575 0.6980
Pd 0.7406 0.0386 0.2980
Pd 0.3115 0.5095 0.8020
Pd 0.1926 0.9906 0.2020
Pd 0.7075 0.5095 0.1980
Be 0.9988 0.4988 0.5000
Pd 0.7406 0.4426 0.7020
Be 0.2488 0.2488 0.0000

Record 6
DFT (PBE) results for crystalline Be2BPd at its relaxed geometry.

Output
The calculation puts the uncorrected energy at -18.10 eV/f.u. The formation energy is 0.305 eV per atom. As for the space group: I-42d, No. 122. The value obtained for the magnetic moment is 0.00 μB per cell.

a = 6.0150 Å, b = 6.0150 Å, c = 4.8130 Å
α = 51.33°, β = 51.33°, γ = 90.00°
Atoms (fractional coordinates):
Pd 0.7500 0.2500 0.5000
Be 0.1966 0.6250 0.2500
Be 0.5534 0.1250 0.2500
Pd 0.0000 0.0000 0.0000
Be 0.8750 0.8034 0.7500
B 0.2500 0.7500 0.5000
B 0.5000 0.5000 0.0000
Be 0.3750 0.4466 0.7500